The following is a DFT calculation (PBE-GGA) of an optimized crystal structure of NdDyEr2S4.

```
data_NdDyEr2S4
_symmetry_space_group_name_H-M 'P 1 2/m 1'
_symmetry_Int_Tables_number 10
_symmetry_space_group_name_Hall '-P 2y'
_cell_length_a 6.7941
_cell_length_b 3.8767
_cell_length_c 6.8723
_cell_angle_alpha 90.00
_cell_angle_beta 108.82
_cell_angle_gamma 90.00
loop_
_atom_site_label
_atom_site_type_symbol
_atom_site_fract_x
_atom_site_fract_y
_atom_site_fract_z
Nd1 Nd 0.0000 0.0000 0.0000
Dy1 Dy 0.5000 0.5000 0.0000
Er1 Er 0.0000 0.5000 0.5000
Er2 Er 0.5000 0.0000 0.5000
S1 S 0.2531 0.0000 0.7406
S2 S 0.2614 0.5000 0.2645
```

mass density: 7.46 g/cm³
E_form (uncorrected): -1977.8 meV/atom
density of states at the Fermi level: 4.606 states/eV/f.u.
total magnetic moment: 0.00 μB/f.u.